# PmZr2CuN4 | Alexandria | PBE | relaxed
# - crystal system = orthorhombic
data_PmZr2CuN4
_chemical_formula_sum 'Pm4 Zr8 Cu4 N16'
_space_group_name_H-M_alt 'C m c m'
_space_group_IT_number 63
_space_group_name_Hall '-C 2c 2'
_cell_length_a 3.3178
_cell_length_b 10.9699
_cell_length_c 11.2434
_cell_angle_alpha 90.00
_cell_angle_beta 90.00
_cell_angle_gamma 90.00
loop_
_atom_site_label
_atom_site_fract_x
_atom_site_fract_y
_atom_site_fract_z
Pm1 0.0000 0.1063 0.2500
Zr1 0.0000 0.3667 0.0559
Cu1 0.0000 0.1571 0.7500
N1 0.0000 0.0000 0.0000
N2 0.0000 0.2666 0.6100
N3 0.0000 0.4500 0.2500

---

# Si2NiRh | Alexandria | PBE | relaxed
# - crystal system = orthorhombic
data_Si2NiRh
_chemical_formula_sum 'Si2 Ni1 Rh1'
_space_group_name_H-M_alt 'P m m 2'
_space_group_IT_number 25
_cell_length_a 3.1838
_cell_length_b 3.2282
_cell_length_c 4.9603
_cell_angle_alpha 90.00
_cell_angle_beta 90.00
_cell_angle_gamma 90.00
loop_
_space_group_symop_operation_xyz
'x,y,z'
'-x,-y,z'
'-x,y,z'
'x,-y,z'
loop_
_atom_site_label
_atom_site_fract_x
_atom_site_fract_y
_atom_site_fract_z
Si1 0.0000 0.0000 0.0000
Si2 0.5000 0.5000 0.3113
Ni1 0.0000 0.0000 0.4681
Rh1 0.5000 0.5000 0.8115

---

# KCaTiBe2 | Alexandria | PBE | relaxed
# - crystal system = tetragonal
# - energy of formation (kJ/mol of atoms) = 177.6
data_KCaTiBe2
_chemical_formula_sum 'K1 Ca1 Ti1 Be2'
_space_group_name_H-M_alt 'P 4/m m m'
_space_group_IT_number 123
_space_group_name_Hall '-P 4 2'
_cell_length_a 5.0400
_cell_length_b 5.0400
_cell_length_c 4.7220
_cell_angle_alpha 90.00
_cell_angle_beta 90.00
_cell_angle_gamma 90.00
loop_
_atom_site_label
_atom_site_fract_x
_atom_site_fract_y
_atom_site_fract_z
K1 0.0000 0.0000 0.0000
Ca1 0.5000 0.5000 0.5000
Ti1 0.0000 0.0000 0.5000
Be1 0.0000 0.5000 0.0000

---

# U2Si7Ru12 | Alexandria | PBE | relaxed
# - crystal system = hexagonal
data_U2Si7Ru12
_chemical_formula_sum 'U2 Si7 Ru12'
_space_group_name_H-M_alt 'P -6'
_space_group_IT_number 174
_cell_length_a 9.6065
_cell_length_b 9.6065
_cell_length_c 3.8880
_cell_angle_alpha 90.00
_cell_angle_beta 90.00
_cell_angle_gamma 120.00
loop_
_space_group_symop_operation_xyz
'x,y,z'
'-x+y,-x,-z'
'-y,x-y,z'
'x,y,-z'
'-x+y,-x,z'
'-y,x-y,-z'
loop_
_atom_site_label
_atom_site_fract_x
_atom_site_fract_y
_atom_site_fract_z
U1 0.0000 0.0000 0.0000
U2 0.3333 0.6667 0.5000
Si1 0.0603 0.4329 0.0000
Si2 0.2643 0.2270 0.5000
Si3 0.6667 0.3333 0.5000
Ru1 0.0345 0.2599 0.5000
Ru2 0.1117 0.7125 0.0000
Ru3 0.4514 0.2234 0.0000
Ru4 0.5170 0.4624 0.5000

---

# Pr2ScTe | Alexandria | PBE | relaxed
# - crystal system = trigonal
data_Pr2ScTe
_chemical_formula_sum 'Pr6 Sc3 Te3'
_space_group_name_H-M_alt 'R -3 m'
_space_group_IT_number 166
_space_group_name_Hall '-R 3 2"'
_cell_length_a 3.9007
_cell_length_b 3.9007
_cell_length_c 31.8915
_cell_angle_alpha 90.00
_cell_angle_beta 90.00
_cell_angle_gamma 120.00
loop_
_atom_site_label
_atom_site_fract_x
_atom_site_fract_y
_atom_site_fract_z
Pr1 0.0000 0.0000 0.0983
Sc1 0.0000 0.0000 0.0000
Te1 0.0000 0.0000 0.5000

---

# Nd4Re6O19 | Alexandria | PBE | relaxed
# - crystal system = cubic
data_Nd4Re6O19
_chemical_formula_sum 'Nd8 Re12 O38'
_space_group_name_H-M_alt 'I 2 3'
_space_group_IT_number 197
_space_group_name_Hall 'I 2 2 3'
_cell_length_a 9.1087
_cell_length_b 9.1087
_cell_length_c 9.1087
_cell_angle_alpha 90.00
_cell_angle_beta 90.00
_cell_angle_gamma 90.00
loop_
_atom_site_label
_atom_site_fract_x
_atom_site_fract_y
_atom_site_fract_z
Nd1 0.1529 0.1529 0.8471
Re1 0.0000 0.3670 0.5000
O1 0.0000 0.0000 0.0000
O2 0.0000 0.0000 0.3194
O3 0.0026 0.3410 0.2826

---

# CeUNiPt | Alexandria | PBE | relaxed
# - crystal system = cubic
# - energy of formation (kJ/mol of atoms) = -50.1
data_CeUNiPt
_chemical_formula_sum 'Ce4 U4 Ni4 Pt4'
_space_group_name_H-M_alt 'F -4 3 m'
_space_group_IT_number 216
_space_group_name_Hall 'F -4 2 3'
_cell_length_a 6.6096
_cell_length_b 6.6096
_cell_length_c 6.6096
_cell_angle_alpha 90.00
_cell_angle_beta 90.00
_cell_angle_gamma 90.00
loop_
_atom_site_label
_atom_site_fract_x
_atom_site_fract_y
_atom_site_fract_z
Ce1 0.0000 0.0000 0.0000
U1 0.2500 0.2500 0.2500
Ni1 0.2500 0.2500 0.7500
Pt1 0.0000 0.0000 0.5000

---

# K2RbYO | Alexandria | PBE | relaxed
# - crystal system = tetragonal
data_K2RbYO
_chemical_formula_sum 'K2 Rb1 Y1 O1'
_space_group_name_H-M_alt 'P 4/m m m'
_space_group_IT_number 123
_space_group_name_Hall '-P 4 2'
_cell_length_a 5.6568
_cell_length_b 5.6568
_cell_length_c 5.9033
_cell_angle_alpha 90.00
_cell_angle_beta 90.00
_cell_angle_gamma 90.00
loop_
_atom_site_label
_atom_site_fract_x
_atom_site_fract_y
_atom_site_fract_z
K1 0.0000 0.5000 0.0000
Rb1 0.0000 0.0000 0.5000
Y1 0.5000 0.5000 0.5000
O1 0.0000 0.0000 0.0000

---

| no. | energy (eV for the cell shown) | V (Å³ per atom) |
| --- | --- | --- |
| 1 | -276.06 | 12.788 |
| 2 | -26.36 | 12.745 |
| 3 | -9.25 | 23.989 |
| 4 | -183.15 | 14.797 |
| 5 | -59.20 | 35.020 |
| 6 | -501.35 | 13.030 |
| 7 | -124.49 | 18.047 |
| 8 | -14.39 | 37.781 |